Entry 1:
4
Lattice="4.1720 0.0000 0.0000 0.0000 3.4380 -0.0242 0.0000 0.0359 4.8227" Properties=species:S:1:pos:R:3 comment="YCo2Cl, relaxed, DFT PBE" e_form_raw_kj_per_mol_fu=-32.1 volume_a3_per_atom=17.3 pbc="T T T"
Y 2.0860 0.8685 1.1996
Co 0.0000 2.5799 0.0639
Co 0.0000 2.5951 2.3112
Cl 2.0860 2.6054 3.5989



Entry 2:
5
Lattice="5.4487 0.0000 0.0000 0.0000 5.4487 0.0000 0.0000 0.0000 5.4487" Properties=species:S:1:pos:R:3 comment="CaRhI3, relaxed, DFT PBE" e_form_raw_kj_per_mol_fu=-237.3 volume_a3_per_atom=32.4 pbc="T T T"
I 0.0000 2.7244 0.0000
I 0.0000 0.0000 2.7244
I 2.7244 0.0000 0.0000
Ca 2.7244 2.7244 2.7244
Rh 0.0000 0.0000 0.0000



Entry 3:
5
Lattice="4.8682 0.0000 0.0000 0.0000 5.4222 0.0000 0.0000 0.0000 4.8682" Properties=species:S:1:pos:R:3 comment="RbTaZnIr2, relaxed, DFT PBE" energy_ev_per_fu=-27.37 volume_a3_per_atom=25.7 pbc="T T T"
Zn 0.0000 2.7111 0.0000
Ir 0.0000 0.0000 2.4341
Ir 2.4341 0.0000 0.0000
Rb 2.4341 2.7111 2.4341
Ta 0.0000 0.0000 0.0000



Entry 4:
4
Lattice="9.1084 -0.0191 -0.0112 8.6521 2.8466 -0.0112 8.6521 1.3774 2.4912" Properties=species:S:1:pos:R:3 comment="ReMo2Cl, relaxed, DFT PBE" e_form_raw_kj_per_mol_fu=138.2 volume_a3_per_atom=16.3 pbc="T T T"
Cl 19.5415 3.1110 1.8265
Mo 0.0751 0.0120 0.0070
Mo 6.6056 1.0516 0.6174
Re 13.3969 2.1328 1.2522



Entry 5:
7
Lattice="4.7265 0.0000 -1.2695 0.2315 7.0905 0.8621 -0.4937 1.7254 7.5951" Properties=species:S:1:pos:R:3 comment="Cs2Cd2Ag3, relaxed, DFT PBE" energy_ev_per_fu=-12.25 volume_a3_per_atom=34.7 pbc="T T T"
Cs 0.6188 3.8170 2.3037
Cs 3.8456 4.9990 4.8839
Cd 1.7252 8.3398 6.4228
Cd 2.7392 0.4761 0.7648
Ag 0.0000 0.0000 0.0000
Ag 0.9965 7.4873 3.7100
Ag 3.4678 1.3287 3.4776